Density functional theory data (GGA-PBE) for a relaxed Pm4Ho2Sc crystal.

Energy relative to the lowest polymorph listed for this composition: 0.500 eV per atom
ΔE_f: 0.5303 eV per atom
Space group: No. 65
Total magnetic moment: 0.0 μB/f.u.

POSCAR file:
```
Pm4Ho2Sc
1.0
3.051 -6.435 0.000
3.051 6.435 0.000
0.000 0.000 5.932
Pm Ho Sc
4 2 1
Direct
0.137 0.863 0.000 Pm
0.313 0.687 0.500 Pm
0.687 0.313 0.500 Pm
0.863 0.137 0.000 Pm
0.389 0.611 0.000 Ho
0.611 0.389 0.000 Ho
0.000 0.000 0.500 Sc
```

Density functional theory data (GGA-PBE) for a relaxed Pm5Ho3Sc2 crystal.

ΔE_f: 0.3523 eV per atom
Space group: No. 72
Total magnetic moment: 0.0 μB/f.u.

POSCAR file:
```
Pm5Ho3Sc2
1.0
-4.511 6.850 5.479
4.511 -6.850 5.479
4.511 6.850 -5.479
Pm Ho Sc
10 6 4
Direct
0.010 0.750 0.260 Pm
0.100 0.234 0.333 Pm
0.250 0.250 0.000 Pm
0.400 0.734 0.134 Pm
0.490 0.750 0.740 Pm
0.510 0.250 0.260 Pm
0.600 0.266 0.866 Pm
0.750 0.750 0.000 Pm
0.900 0.766 0.667 Pm
0.990 0.250 0.740 Pm
0.160 0.881 0.041 Ho
0.250 0.750 0.500 Ho
0.340 0.381 0.721 Ho
0.660 0.619 0.279 Ho
0.750 0.250 0.500 Ho
0.840 0.119 0.959 Ho
0.117 0.564 0.680 Sc
0.383 0.064 0.447 Sc
0.617 0.936 0.553 Sc
0.883 0.436 0.320 Sc
```

| no. | N(E_F) (states/eV per cell) |
| --- | --- |
| 1 | 12.30 |
| 2 | 27.60 |